4
Lattice="-2.109 2.940 3.432 2.109 -2.940 3.432 2.109 2.940 -3.432" Properties=species:S:1:pos:R:3 comment="LaSi2Au (meta-GGA SCAN, PBEsol geometry)" e_form_raw_mev_per_atom=-469.0 m_tot_mub_per_fu=0.00 pbc="T T T"
La 0.000 0.000 0.000
Si 2.109 0.000 2.146
Si 0.000 2.940 1.285
Au 0.000 0.000 3.432